1.
Material: BeAsPb2
Method: DFT, PBEsol
State: optimized geometry

Unit cell a=3.3475 b=3.3475 c=8.0448 alpha=90.00 beta=90.00 gamma=90.00
With the nearest neighbours (Å) after each atom.
Atoms (fractional coordinates):
Be 0.0000 0.0000 0.0000  4 As 2.39
As 0.5000 0.5000 0.9578  4 Be 2.39
Pb 0.0000 0.0000 0.6516  1 Be 2.80
Pb 0.5000 0.5000 0.3215  1 As 2.93

Results
- DOS at the Fermi energy (states/eV/cell) = 2.237
- VASP energy (eV/atom) = -4.028
- M_tot (μB per formula unit) = 0.00
- formation energy (eV per atom) = 0.2476

---

2.
Material: BeNi2Ru
Method: DFT, PBEsol
State: optimized geometry

Unit cell a=4.1483 b=4.1483 c=4.1483 alpha=128.55 beta=128.55 gamma=75.74
With the nearest neighbours (Å) after each atom.
Atoms (fractional coordinates):
Be 0.0000 0.0000 0.0000  8 Ni 2.43-2.55, 4 Ru 2.43
Ni 0.5000 0.5000 0.0000  4 Ni 2.43, 4 Ru 2.43, 4 Be 2.55
Ni 0.7500 0.2500 0.5000  4 Be 2.43, 4 Ni 2.43, 4 Ru 2.55
Ru 0.2500 0.7500 0.5000  4 Be 2.43, 8 Ni 2.43-2.55

Results
- DOS at the Fermi energy (states/eV/cell) = 5.303
- VASP energy (eV/atom) = -6.629
- M_tot (μB per formula unit) = 0.77
- formation energy (eV per atom) = -0.0072

---

3.
Material: MnFe
Method: DFT, PBEsol
State: optimized geometry

Unit cell a=2.3899 b=2.3899 c=7.9179 alpha=90.00 beta=90.00 gamma=109.82
With the nearest neighbours (Å) after each atom.
Atoms (fractional coordinates):
Mn 0.2500 0.7500 0.8786  6 Mn 2.36-2.39, 2 Fe 2.43
Mn 0.7500 0.2500 0.1214  6 Mn 2.36-2.39, 2 Fe 2.43
Fe 0.2500 0.7500 0.3738  6 Fe 2.39-2.43, 2 Mn 2.43
Fe 0.7500 0.2500 0.6262  6 Fe 2.39-2.43, 2 Mn 2.43

Results
- DOS at the Fermi energy (states/eV/cell) = 5.412
- VASP energy (eV/atom) = -9.246
- M_tot (μB per formula unit) = 2.89
- formation energy (eV per atom) = 0.1161

---

4.
Material: TaCuSi
Method: DFT, PBEsol
State: optimized geometry

Unit cell a=5.3766 b=5.2337 c=2.9578 alpha=76.49 beta=71.17 gamma=32.34
With the nearest neighbours (Å) after each atom.
Atoms (fractional coordinates):
Ta 0.0000 0.0000 0.0000  4 Si 2.60-2.88, 4 Cu 2.63-2.90
Cu 0.3142 0.3142 0.6858  2 Si 2.30
Si 0.6817 0.6817 0.3183  2 Cu 2.30

Results
- DOS at the Fermi energy (states/eV/cell) = 1.159
- E_form (uncorrected) (eV per atom) = -0.10
- VASP energy (eV/atom) = -7.643
- M_tot (μB per formula unit) = 0.00

---

5.
Material: Sc2SnCl
Method: DFT, PBEsol
State: optimized geometry

Unit cell a=7.8361 b=7.8361 c=7.8361 alpha=32.57 beta=32.57 gamma=32.57
With the nearest neighbours (Å) after each atom.
Atoms (fractional coordinates):
Sc 0.1103 0.1103 0.1103  1 Cl 2.45
Sc 0.8897 0.8897 0.8897  1 Cl 2.45
Sn 0.5000 0.5000 0.5000  6 Sc 2.83
Cl 0.0000 0.0000 0.0000  2 Sc 2.45

Results
- DOS at the Fermi energy (states/eV/cell) = 3.618
- E_form (uncorrected) (eV per atom) = -0.79
- VASP energy (eV/atom) = -5.661
- M_tot (μB per formula unit) = 0.00

---

6.
Material: SrNb3NO7
Method: DFT, PBEsol
State: optimized geometry

Unit cell a=10.4372 b=10.4372 c=8.8682 alpha=90.51 beta=90.51 gamma=21.05
With the nearest neighbours (Å) after each atom.
Atoms (fractional coordinates):
Sr 0.0000 0.0000 0.0000  4 O 2.58-2.59, 2 N 2.65
Sr 0.0364 0.0364 0.4958  6 O 2.55-2.68
Nb 0.2510 0.2510 0.9764  4 O 1.85-2.04, 1 N 2.02
Nb 0.3847 0.3847 0.2916  4 O 1.83-1.98
Nb 0.3928 0.3928 0.6866  4 O 1.82-1.98
Nb 0.6409 0.6409 0.8088  1 O 1.84, 3 N 2.00-2.03
Nb 0.6421 0.6421 0.1846  3 O 1.84-2.00, 1 N 1.95
Nb 0.7779 0.7779 0.4988  2 O 1.80
N 0.1722 0.1722 0.8381  3 Nb 2.02-2.03
N 0.5899 0.5899 0.9996  2 Nb 1.95-2.00
O 0.1697 0.1697 0.1598  2 Nb 2.00
O 0.3107 0.3107 0.4963  2 Nb 2.02
O 0.3153 0.3153 0.1527  2 Nb 1.88-2.04
O 0.3162 0.3162 0.8342  2 Nb 1.85-2.05
O 0.4445 0.4445 0.5010  1 Nb 1.97
O 0.4549 0.4549 0.1661  1 Nb 1.83
O 0.4566 0.4566 0.8299  1 Nb 1.82
O 0.5770 0.5770 0.6620  1 Nb 1.84
O 0.5795 0.5795 0.3315  1 Nb 1.84
O 0.7218 0.7218 0.6543  1 Nb 1.80
O 0.7234 0.7234 0.3380  1 Nb 1.80
O 0.7305 0.7305 0.0106  2 Nb 1.98
O 0.8695 0.8695 0.6579  2 Nb 1.98
O 0.8710 0.8710 0.3446  2 Nb 1.98

Results
- E_form (uncorrected) (eV per atom) = -2.41
- VASP energy (eV/atom) = -9.038
- M_tot (μB per formula unit) = 0.00